A PBEsol-optimized structure of CoNiP3. Source: Alexandria via LeMat-Bulk, functional SCAN.

a = 4.257 Å, b = 4.257 Å, c = 4.257 Å
α = 90.00°, β = 90.00°, γ = 90.00°
Space group Pm-3m (No. 221)
Inequivalent atoms, fractional coordinates:
Co (0.000, 0.000, 0.000) (multiplicity 1)
Ni (0.500, 0.500, 0.500) (multiplicity 1)
P (0.000, 0.500, 0.500) (multiplicity 3)

Values from the calculation:
Spin magnetization ... 1.93 μB per formula unit
N(E_F) ... 3.78 states/eV/cell
Formation energy from the elements ... 935 meV/atom